[1]
## HoB2Ir5 (PBE)

Data for crystalline HoB2Ir5 at its relaxed geometry.

Cell lengths 5.8657, 5.8657, 5.8657 Å; angles 140.63, 114.27, 79.39 degrees
Sites, in units of the cell vectors:
Ho1 0.0000 0.0000 0.0000
B1 0.2600 0.7600 0.5000
B2 0.7400 0.2400 0.5000
Ir1 0.1412 0.3513 0.7898
Ir2 0.4385 0.6487 0.7898
Ir3 0.5000 0.0000 0.5000
Ir4 0.5615 0.3513 0.2102
Ir5 0.8588 0.6487 0.2102

Values from the calculation:
ΔE_f: -391 meV/atom
Fermi-level density of states: 0.74 states/eV per atom
Space group: Immm
DFT total energy: -8.17 eV/atom

=====

[2]
## HoB4Ir4 (PBE)

Data for crystalline HoB4Ir4 at its relaxed geometry.

Cell lengths 5.4014, 5.4014, 7.4683 Å; angles 90.00, 90.00, 90.00 degrees
Sites, in units of the cell vectors:
Ho1 0.2500 0.7500 0.2500
Ho2 0.7500 0.2500 0.7500
B1 0.0777 0.2500 0.0966
B2 0.2500 0.0777 0.5966
B3 0.2500 0.4223 0.5966
B4 0.4223 0.2500 0.0966
B5 0.5777 0.7500 0.9034
B6 0.7500 0.5777 0.4034
B7 0.7500 0.9223 0.4034
B8 0.9223 0.7500 0.9034
Ir1 0.0009 0.7500 0.6056
Ir2 0.2500 0.5009 0.8944
Ir3 0.2500 0.9991 0.8944
Ir4 0.4991 0.7500 0.6056
Ir5 0.5009 0.2500 0.3944
Ir6 0.7500 0.0009 0.1056
Ir7 0.7500 0.4991 0.1056
Ir8 0.9991 0.2500 0.3944

Values from the calculation:
ΔE_f: -503 meV/atom
Fermi-level density of states: 0.38 states/eV per atom
Space group: P4_2/nmc
Excess energy over the best structure of this formula in the dataset: 43 meV/atom
DFT total energy: -7.92 eV/atom

=====

[3]
## HoB4Ir6 (PBE)

Data for crystalline HoB4Ir6 at its relaxed geometry.

Cell lengths 6.1325, 6.1325, 6.1325 Å; angles 126.84, 126.84, 78.51 degrees
Sites, in units of the cell vectors:
Ho1 0.0000 0.0000 0.0000
B1 0.2064 0.2064 0.6259
B2 0.4195 0.7936 0.0000
B3 0.5805 0.5805 0.3741
B4 0.7936 0.4195 0.0000
Ir1 0.0000 0.5000 0.5000
Ir2 0.1226 0.4720 0.0000
Ir3 0.4720 0.1226 0.0000
Ir4 0.5000 0.0000 0.5000
Ir5 0.5280 0.5280 0.6505
Ir6 0.8774 0.8774 0.3495

Values from the calculation:
ΔE_f: -235 meV/atom
Fermi-level density of states: 0.51 states/eV per atom
Space group: I-42m
DFT total energy: -7.91 eV/atom